(1)
VASP calculation (PBE) on a geometry-optimized BC2 structure.

Cell and atoms, written as POSCAR:
```
BC2
1.0
3.7061 0.0000 0.0000
-1.6628 4.1993 0.0000
-0.0318 -1.5661 4.9263
B C
4 8
Direct
0.0000 0.0000 0.0000
0.9999 0.0050 0.5776
0.2790 0.6907 0.7144
0.6406 0.9780 0.3083
0.0138 0.6436 0.4383
0.0204 0.6515 0.9683
0.2629 0.6463 0.2053
0.3775 0.3364 0.1250
0.3877 0.3369 0.6261
0.6219 0.3444 0.3769
0.6307 0.3480 0.8799
0.6860 0.0148 0.7917
```

## Properties
* crystal system: triclinic
* energy above the most stable polymorph in this dataset: 0.0705 eV per atom
* density of states at the Fermi level: 1.06 states/eV per cell

(2)
VASP calculation (PBE) on a geometry-optimized Cr2HgPt structure.

Cell and atoms, written as POSCAR:
```
Cr2HgPt
1.0
2.7655 0.0000 0.0000
0.0000 4.2624 0.0000
-0.0118 0.0000 5.4588
Cr Hg Pt
2 1 1
Direct
0.0011 0.0000 0.1757
0.9989 0.0000 0.8243
0.5000 0.5000 0.5000
0.5000 0.5000 0.0000
```

## Properties
* final energy: -6.099 eV per atom
* crystal system: monoclinic
* density of states at the Fermi level: 2.92 states/eV per cell

(3)
VASP calculation (PBE) on a geometry-optimized MnTe3Pd12 structure.

Cell and atoms, written as POSCAR:
```
MnTe3Pd12
1.0
4.0584 0.0000 0.0000
0.0000 4.0584 0.0000
0.0000 0.0000 16.1185
Mn Te Pd
1 3 12
Direct
0.0000 0.0000 0.0000
0.0000 0.0000 0.2390
0.0000 0.0000 0.5000
0.0000 0.0000 0.7610
0.0000 0.5000 0.1179
0.0000 0.5000 0.3729
0.0000 0.5000 0.6271
0.0000 0.5000 0.8821
0.5000 0.0000 0.1179
0.5000 0.0000 0.3729
0.5000 0.0000 0.6271
0.5000 0.0000 0.8821
0.5000 0.5000 0.0000
0.5000 0.5000 0.2482
0.5000 0.5000 0.5000
0.5000 0.5000 0.7518
```

## Properties
* crystal system: tetragonal
* E_form (uncorrected): -3.047 eV/f.u.
* density of states at the Fermi level: 14.90 states/eV per cell